# CuHg2W

A relaxed structure of CuHg2W (PBE, the Alexandria database).

**Calculated volume**: 73.7 Å³/cell
**Formation energy**: 2.16 eV per formula unit
**E above lowest polymorph**: 0.0306 eV per atom

Geometry as POSCAR:
```
CuHg2W
1.0
1.465 0.846 9.902
-1.465 0.846 9.902
0.000 -1.692 9.902
Cu Hg W
1 2 1
direct
0.000 0.000 0.000 Cu
0.255 0.255 0.255 Hg
0.488 0.488 0.488 Hg
0.736 0.736 0.736 W
```



# AcBMo2

A relaxed structure of AcBMo2 (PBE, the Alexandria database).

**Calculated volume**: 77.0 Å³/cell
**Formation energy**: 1.92 eV per formula unit

Geometry as POSCAR:
```
AcBMo2
1.0
1.648 0.952 8.185
-1.648 0.952 8.185
0.000 -1.903 8.185
Ac B Mo
1 1 2
direct
0.000 0.000 0.000 Ac
0.500 0.500 0.500 B
0.122 0.122 0.122 Mo
0.878 0.878 0.878 Mo
```



# NaCaAcSi

A relaxed structure of NaCaAcSi (PBE, the Alexandria database).

**Calculated volume**: 116.1 Å³/cell
**Formation energy without anion corrections**: -0.12 eV per atom

Geometry as POSCAR:
```
NaCaAcSi
1.0
0.000 3.872 3.872
3.872 0.000 3.872
3.872 3.872 0.000
Na Ca Ac Si
1 1 1 1
direct
0.000 0.000 0.000 Na
0.250 0.250 0.250 Ca
0.750 0.750 0.750 Ac
0.500 0.500 0.500 Si
```



# YZr2Mo

A relaxed structure of YZr2Mo (PBE, the Alexandria database).

**Calculated volume**: 91.5 Å³/cell
**Formation energy**: 0.59 eV per formula unit
**E above lowest polymorph**: 0.0790 eV per atom

Geometry as POSCAR:
```
YZr2Mo
1.0
3.471 0.000 0.000
0.000 3.471 0.000
0.000 0.000 7.591
Y Zr Mo
1 2 1
direct
0.000 0.000 0.000 Y
0.000 0.000 0.563 Zr
0.500 0.500 0.318 Zr
0.500 0.500 0.746 Mo
```



Question: calculated volume of number 3 (NaCaAcSi)?
Answer: 116.1 Å³/cell



Question: calculated volume of number 1 (CuHg2W)?
Answer: 73.7 Å³/cell



Question: The lowest calculated volume belongs to which entry?
Answer: CuHg2W